Record 1
# Re2AsCl GGA-PBE optimized geometry
data_Re2AsCl
_chemical_formula_sum 'Re8 As4 Cl4'
_symmetry_space_group_name_H-M 'I -4 2 d'
_symmetry_Int_Tables_number 122
_symmetry_space_group_name_Hall 'I -4 2bw'
_cell_length_a 5.554
_cell_length_b 5.554
_cell_length_c 10.208
_cell_angle_alpha 90.00
_cell_angle_beta 90.00
_cell_angle_gamma 90.00
loop_
_atom_site_label
_atom_site_type_symbol
_atom_site_fract_x
_atom_site_fract_y
_atom_site_fract_z
_atom_site_occupancy
Re1 Re 0.226 0.250 0.125 1
As1 As 0.000 0.000 0.500 1
Cl1 Cl 0.000 0.000 0.000 1
# uncorrected formation energy: 117 kJ per mole of atoms


Record 2
# ReAs4Cl GGA-PBE optimized geometry
data_ReAs4Cl
_chemical_formula_sum 'Re4 As16 Cl4'
_symmetry_space_group_name_H-M 'F -4 3 m'
_symmetry_Int_Tables_number 216
_symmetry_space_group_name_Hall 'F -4 2 3'
_cell_length_a 7.866
_cell_length_b 7.866
_cell_length_c 7.866
_cell_angle_alpha 90.00
_cell_angle_beta 90.00
_cell_angle_gamma 90.00
loop_
_atom_site_label
_atom_site_type_symbol
_atom_site_fract_x
_atom_site_fract_y
_atom_site_fract_z
_atom_site_occupancy
Re1 Re 0.000 0.000 0.000 1
As1 As 0.118 0.118 0.618 1
Cl1 Cl 0.250 0.250 0.250 1
# uncorrected formation energy: 97 kJ per mole of atoms


How do the records compare in raw total energy? In the order shown, they have -6.640, -4.476 eV per atom.